(1)
This record from the Alexandria database describes a relaxed structure of K3HoP2O8. The functional is PBEsol.

Structure (POSCAR):
```
K3HoP2O8
1.0
7.356 0.000 0.000
0.000 5.604 0.000
-0.141 0.000 9.302
K Ho P O
6 2 4 16
direct
0.003 0.250 0.191 K
0.136 0.750 0.412 K
0.298 0.250 0.919 K
0.702 0.750 0.081 K
0.864 0.250 0.588 K
0.997 0.750 0.809 K
0.494 0.750 0.711 Ho
0.506 0.250 0.289 Ho
0.272 0.750 0.090 P
0.316 0.250 0.573 P
0.684 0.750 0.427 P
0.728 0.250 0.910 P
0.065 0.750 0.103 O
0.217 0.250 0.424 O
0.265 0.024 0.660 O
0.265 0.476 0.660 O
0.331 0.750 0.930 O
0.351 0.524 0.166 O
0.351 0.976 0.166 O
0.479 0.750 0.462 O
0.521 0.250 0.538 O
0.649 0.024 0.834 O
0.649 0.476 0.834 O
0.669 0.250 0.070 O
0.735 0.524 0.340 O
0.735 0.976 0.340 O
0.783 0.750 0.576 O
0.935 0.250 0.897 O
```

## Properties
**ρ**: 4.1 g/cm³
**Spin magnetization**: 0.00 Bohr magnetons per cell
**Symmetry**: P2_1/m (11)
**Formation energy from raw total energies**: -2.63 eV/atom
**Crystal system**: monoclinic

(2)
This record from the Alexandria database describes a relaxed structure of TaCoRe2. The functional is PBEsol.

Structure (POSCAR):
```
TaCoRe2
1.0
6.130 0.000 0.000
0.000 6.130 0.000
0.000 0.000 6.130
Ta Co Re
4 4 8
direct
0.000 0.000 0.000 Ta
0.000 0.500 0.500 Ta
0.500 0.000 0.500 Ta
0.500 0.500 0.000 Ta
0.000 0.000 0.500 Co
0.000 0.500 0.000 Co
0.500 0.000 0.000 Co
0.500 0.500 0.500 Co
0.250 0.250 0.250 Re
0.250 0.250 0.750 Re
0.250 0.750 0.250 Re
0.250 0.750 0.750 Re
0.750 0.250 0.250 Re
0.750 0.250 0.750 Re
0.750 0.750 0.250 Re
0.750 0.750 0.750 Re
```

## Properties
**ρ**: 17.7 g/cm³
**ΔE_f**: 0.1671 eV per atom
**Spin magnetization**: 9.56 Bohr magnetons per cell
**Symmetry**: Fm-3m (225)
**Offset from the most stable computed form**: 0.78 eV/f.u.
**Crystal system**: cubic

(3)
This record from the Alexandria database describes a relaxed structure of La2MgAg. The functional is PBEsol.

Structure (POSCAR):
```
La2MgAg
1.0
3.749 0.000 0.000
0.000 5.332 0.000
0.000 0.000 10.916
La Mg Ag
4 2 2
direct
0.000 0.000 0.000 La
0.000 0.500 0.215 La
0.500 0.000 0.715 La
0.500 0.500 0.500 La
0.000 0.500 0.783 Mg
0.500 0.000 0.283 Mg
0.000 0.000 0.469 Ag
0.500 0.500 0.969 Ag
```

## Properties
**ρ**: 6.2 g/cm³
**ΔE_f**: -0.1262 eV per atom
**Spin magnetization**: 0.00 Bohr magnetons per cell
**Symmetry**: Imm2 (44)
**Crystal system**: orthorhombic

(4)
This record from the Alexandria database describes a relaxed structure of ZrNiCl. The functional is PBEsol.

Structure (POSCAR):
```
ZrNiCl
1.0
3.031 0.000 0.000
0.000 3.031 0.000
0.000 0.000 11.480
Zr Ni Cl
2 2 2
direct
0.000 0.000 0.000 Zr
0.500 0.500 0.500 Zr
0.000 0.000 0.361 Ni
0.500 0.500 0.861 Ni
0.000 0.000 0.648 Cl
0.500 0.500 0.148 Cl
```

## Properties
**ρ**: 5.8 g/cm³
**Spin magnetization**: 0.00 Bohr magnetons per cell
**Symmetry**: I4mm (107)
**Formation energy from raw total energies**: -0.42 eV/atom
**Crystal system**: tetragonal

(5)
This record from the Alexandria database describes a relaxed structure of Sc2CdCu. The functional is PBEsol.

Structure (POSCAR):
```
Sc2CdCu
1.0
3.394 0.000 0.000
0.000 3.394 0.000
0.000 0.000 6.612
Sc Cd Cu
2 1 1
direct
0.000 0.000 0.000 Sc
0.500 0.500 0.304 Sc
0.000 0.000 0.564 Cd
0.500 0.500 0.786 Cu
```

## Properties
**ρ**: 5.8 g/cm³
**ΔE_f**: -0.1406 eV per atom
**Spin magnetization**: 1.27 Bohr magnetons per cell
**Symmetry**: P4mm (99)
**Crystal system**: tetragonal

(6)
This record from the Alexandria database describes a relaxed structure of MnZnTe2Pb. The functional is PBEsol.

Structure (POSCAR):
```
MnZnTe2Pb
1.0
5.069 0.000 0.000
0.000 5.069 0.000
0.000 0.000 5.248
Mn Zn Te Pb
1 1 2 1
direct
0.000 0.000 0.000 Mn
0.500 0.500 0.500 Zn
0.000 0.500 0.000 Te
0.500 0.000 0.000 Te
0.000 0.000 0.500 Pb
```

## Properties
**ρ**: 7.2 g/cm³
**Spin magnetization**: 2.83 Bohr magnetons per cell
**Symmetry**: P4/mmm (123)
**Formation energy from raw total energies**: 0.38 eV/atom
**Crystal system**: tetragonal